## TcP2Ir (PBE)

Data for a relaxed TcP2Ir crystal.

Output
- ΔE_f: -152.6 meV/atom
- Distance to the lowest polymorph of the same formula: 296 meV per atom
- Magnetic moment: 0.00 μB per formula unit

abc: 2.998 2.998 5.890
angles: 90.00 90.00 90.00
Space group P4/mmm (No. 123)
One atom of each set of equivalent atoms:
Tc1 0.000 0.000 0.000 x1
P1 0.500 0.500 0.240 x2
Ir1 0.000 0.000 0.500 x1



## TcP2Ir (PBE)

Data for a relaxed TcP2Ir crystal.

Output
- ΔE_f: -121.3 meV/atom
- Distance to the lowest polymorph of the same formula: 328 meV per atom
- Magnetic moment: 0.00 μB per formula unit

abc: 5.960 5.960 5.960
angles: 90.00 90.00 90.00
Space group Fm-3m (No. 225)
One atom of each set of equivalent atoms:
Tc1 0.000 0.000 0.000 x4
P1 0.250 0.250 0.250 x8
Ir1 0.000 0.000 0.500 x4



## TcPIr2 (PBE)

Data for a relaxed TcPIr2 crystal.

Output
- ΔE_f: 214.8 meV/atom
- Magnetic moment: 0.00 μB per formula unit

abc: 3.803 3.803 3.903
angles: 90.00 90.00 90.00
Space group P4/mmm (No. 123)
One atom of each set of equivalent atoms:
Tc1 0.000 0.000 0.000 x1
P1 0.500 0.500 0.000 x1
Ir1 0.000 0.500 0.500 x2



Number 1: volume 13.2 Å³/atom, mass density 11043 kg/m³. Number 2: volume 13.2 Å³/atom, mass density 11046 kg/m³. Number 3: volume 14.1 Å³/atom, mass density 15104 kg/m³.